## Ho2CuOs (PBEsol)

Data for a relaxed Ho2CuOs crystal.

```
Ho2CuOs
1.0
-1.881 -0.643 -4.313
-4.427 -1.664 -0.436
-3.472 2.858 -1.527
Ho Os Cu
2 1 1
Cartesian
-2.445 0.138 -1.569 Ho
-7.334 0.413 -4.708 Ho
-4.890 0.275 -3.138 Os
0.000 0.000 0.000 Cu
```

SG: Fm-3m, No. 225
N(E_F): 0.524 states/eV/atom
Formation energy from the elements: -1.08 eV per formula unit

---

## CdReCl3 (PBEsol)

Data for a relaxed CdReCl3 crystal.

```
CdReCl3
1.0
5.096 0.000 0.000
0.000 5.096 0.000
0.000 0.000 5.096
Cl Re Cd
3 1 1
Cartesian
2.548 0.000 0.000 Cl
0.000 0.000 2.548 Cl
0.000 2.548 0.000 Cl
2.548 2.548 2.548 Re
0.000 0.000 0.000 Cd
```

SG: Pm-3m, No. 221
E_form (uncorrected): 0.661 eV/atom

---

## AlMoAs2 (PBEsol)

Data for a relaxed AlMoAs2 crystal.

```
AlMoAs2
1.0
3.303 0.000 0.000
0.000 4.151 0.000
0.000 0.000 4.668
As Al Mo
2 1 1
Cartesian
0.000 0.000 0.000 As
1.651 0.000 2.334 As
0.000 2.075 2.334 Al
1.651 2.075 0.000 Mo
```

SG: Pmmm, No. 47
N(E_F): 0.679 states/eV/atom
Formation energy from the elements: 0.99 eV per formula unit

---

## Ca2MnSeBr (PBEsol)

Data for a relaxed Ca2MnSeBr crystal.

```
Ca2MnSeBr
1.0
-3.823 1.726 -1.066
-2.573 -4.022 2.714
0.091 3.031 4.579
Ca Se Mn Br
2 1 1 1
Cartesian
-1.286 -2.011 1.357 Ca
0.046 1.516 2.290 Ca
-3.152 0.367 3.113 Se
-1.912 0.863 -0.533 Mn
0.000 0.000 0.000 Br
```

SG: P4/mmm, No. 123
N(E_F): 0.641 states/eV/atom
E_form (uncorrected): -0.241 eV/atom

---

## Mn2Cd3O5 (PBEsol)

Data for a relaxed Mn2Cd3O5 crystal.

```
Mn2Cd3O5
1.0
-0.906 0.845 -4.460
-4.078 -3.134 -2.168
-3.910 4.006 -0.848
O Cd Mn
5 3 2
Cartesian
-2.797 -0.261 -1.883 O
-6.097 1.978 -5.592 O
-3.555 2.350 -3.636 O
-5.339 -0.633 -3.839 O
0.000 0.000 0.000 O
-3.086 0.116 -4.155 Cd
-0.453 0.423 -2.230 Cd
-5.807 1.602 -3.321 Cd
-3.235 1.870 -1.390 Mn
-5.659 -0.152 -6.085 Mn
```

SG: C2/m, No. 12
N(E_F): 0.318 states/eV/atom
E_form (uncorrected): -1.051 eV/atom

---

## LaSc2ZnAu (PBEsol)

Data for a relaxed LaSc2ZnAu crystal.

```
LaSc2ZnAu
1.0
5.159 0.000 0.000
0.000 5.159 0.000
0.000 0.000 5.616
La Sc Zn Au
1 2 1 1
Cartesian
0.000 0.000 2.808 La
0.000 2.579 0.000 Sc
2.579 0.000 0.000 Sc
2.579 2.579 2.808 Zn
0.000 0.000 0.000 Au
```

SG: P4/mmm, No. 123
N(E_F): 1.938 states/eV/atom
Formation energy from the elements: 0.86 eV per formula unit

---

| no. | total magnetic moment (μB per formula unit) | uncorrected energy (eV/cell) |
| --- | --- | --- |
| 1 | 0.0 | -27.53 |
| 2 | 6.0 | -17.25 |
| 3 | 0.0 | -25.08 |
| 4 | 2.2 | -20.95 |
| 5 | 9.8 | -59.87 |
| 6 | 1.5 | -23.20 |